Compound: YGaPt2
Source: the Alexandria database
Functional: PBE
Structure: optimized geometry

CIF file:
```
data_YGaPt2
_chemical_formula_sum 'Y2 Ga2 Pt4'
_symmetry_space_group_name_H-M 'I m m m'
_symmetry_Int_Tables_number 71
_symmetry_space_group_name_Hall '-I 2 2'
_cell_length_a 2.9769
_cell_length_b 4.9249
_cell_length_c 10.6264
_cell_angle_alpha 90.00
_cell_angle_beta 90.00
_cell_angle_gamma 90.00
loop_
_atom_site_label
_atom_site_type_symbol
_atom_site_fract_x
_atom_site_fract_y
_atom_site_fract_z
_atom_site_occupancy
Y1 Y 0.0000 0.0000 0.0000 1
Ga1 Ga 0.0000 0.0000 0.5000 1
Pt1 Pt 0.0000 0.0000 0.2656 1
```

Summary:
* energy relative to the elements: -0.2246 eV/atom

=====

Compound: NpUC2
Source: the Alexandria database
Functional: PBE
Structure: optimized geometry

CIF file:
```
data_NpUC2
_chemical_formula_sum 'Np2 U2 C4'
_symmetry_space_group_name_H-M 'P m m n'
_symmetry_Int_Tables_number 59
_cell_length_a 3.2944
_cell_length_b 6.1512
_cell_length_c 5.7402
_cell_angle_alpha 90.00
_cell_angle_beta 90.00
_cell_angle_gamma 90.00
loop_
_symmetry_equiv_pos_as_xyz
'x,y,z'
'-x,-y,-z'
'-x+1/2,-y+1/2,z'
'x+1/2,y+1/2,-z'
'x+1/2,-y,-z'
'-x+1/2,y,z'
'-x,y+1/2,-z'
'x,-y+1/2,z'
loop_
_atom_site_label
_atom_site_type_symbol
_atom_site_fract_x
_atom_site_fract_y
_atom_site_fract_z
_atom_site_occupancy
Np1 Np 0.2500 0.2500 0.0824 1
U1 U 0.2500 0.7500 0.4168 1
C1 C 0.2500 0.0001 0.7412 1
```

Summary:
* energy relative to the elements: -0.0070 eV/atom
* ΔE to the lowest computed polymorph: 0 meV/atom

=====

Compound: Hf12FeSb6
Source: the Alexandria database
Functional: PBE
Structure: optimized geometry

CIF file:
```
data_Hf12FeSb6
_chemical_formula_sum 'Hf36 Fe3 Sb18'
_symmetry_space_group_name_H-M 'R -3'
_symmetry_Int_Tables_number 148
_symmetry_space_group_name_Hall '-R 3'
_cell_length_a 12.0902
_cell_length_b 12.0902
_cell_length_c 10.7816
_cell_angle_alpha 90.00
_cell_angle_beta 90.00
_cell_angle_gamma 120.00
loop_
_atom_site_label
_atom_site_type_symbol
_atom_site_fract_x
_atom_site_fract_y
_atom_site_fract_z
_atom_site_occupancy
Hf1 Hf 0.0267 0.8569 0.3790 1
Hf2 Hf 0.0679 0.8838 0.8716 1
Fe1 Fe 0.0000 0.0000 0.0000 1
Sb1 Sb 0.0380 0.7435 0.6335 1
```

Summary:
* formation energy (no corrections): -2.33 eV per formula unit

=====

Compound: Ac2ErF8
Source: the Alexandria database
Functional: PBE
Structure: optimized geometry

CIF file:
```
data_Ac2ErF8
_chemical_formula_sum 'Ac4 Er2 F16'
_symmetry_space_group_name_H-M 'C 1 2/m 1'
_symmetry_Int_Tables_number 12
_symmetry_space_group_name_Hall '-C 2y'
_cell_length_a 16.8920
_cell_length_b 3.9886
_cell_length_c 5.6531
_cell_angle_alpha 90.00
_cell_angle_beta 109.24
_cell_angle_gamma 90.00
loop_
_atom_site_label
_atom_site_type_symbol
_atom_site_fract_x
_atom_site_fract_y
_atom_site_fract_z
_atom_site_occupancy
Ac1 Ac 0.1723 0.0000 0.1660 1
Er1 Er 0.0000 0.5000 0.5000 1
F1 F 0.0586 0.0000 0.6985 1
F2 F 0.1022 0.5000 0.3390 1
F3 F 0.1822 0.5000 0.9028 1
F4 F 0.2327 0.0000 0.6304 1
```

Summary:
* formation energy (no corrections): -42.97 eV per formula unit

=====

Compound: SrLiSn2Au4
Source: the Alexandria database
Functional: PBE
Structure: optimized geometry

CIF file:
```
data_SrLiSn2Au4
_chemical_formula_sum 'Sr3 Li3 Sn6 Au12'
_symmetry_space_group_name_H-M 'R -3 m'
_symmetry_Int_Tables_number 166
_symmetry_space_group_name_Hall '-R 3 2"'
_cell_length_a 4.7437
_cell_length_b 4.7437
_cell_length_c 27.3323
_cell_angle_alpha 90.00
_cell_angle_beta 90.00
_cell_angle_gamma 120.00
loop_
_atom_site_label
_atom_site_type_symbol
_atom_site_fract_x
_atom_site_fract_y
_atom_site_fract_z
_atom_site_occupancy
Sr1 Sr 0.0000 0.0000 0.0000 1
Li1 Li 0.0000 0.0000 0.5000 1
Sn1 Sn 0.0000 0.0000 0.2428 1
Au1 Au 0.0000 0.0000 0.1395 1
Au2 Au 0.0000 0.0000 0.4002 1
```

Summary:
* energy relative to the elements: -0.4943 eV/atom

=====

Compound: LiTm2Se
Source: the Alexandria database
Functional: PBE
Structure: optimized geometry

CIF file:
```
data_LiTm2Se
_chemical_formula_sum 'Li3 Tm6 Se3'
_symmetry_space_group_name_H-M 'R -3 m'
_symmetry_Int_Tables_number 166
_symmetry_space_group_name_Hall '-R 3 2"'
_cell_length_a 3.6643
_cell_length_b 3.6643
_cell_length_c 30.1677
_cell_angle_alpha 90.00
_cell_angle_beta 90.00
_cell_angle_gamma 120.00
loop_
_atom_site_label
_atom_site_type_symbol
_atom_site_fract_x
_atom_site_fract_y
_atom_site_fract_z
_atom_site_occupancy
Li1 Li 0.0000 0.0000 0.0000 1
Tm1 Tm 0.0000 0.0000 0.1066 1
Se1 Se 0.0000 0.0000 0.5000 1
```

Summary:
* formation energy (no corrections): -2.02 eV per formula unit

=====

Number 1: total magnetic moment 0.00 μB/atom. Number 2: total magnetic moment 0.74 μB/atom. Number 3: total magnetic moment 0.00 μB/atom. Number 4: total magnetic moment 0.05 μB/atom. Number 5: total magnetic moment 0.00 μB/atom. Number 6: total magnetic moment 0.00 μB/atom.